First-principles (PBE) data for a relaxed Na2ZnCu2Au5 crystal, as listed in Alexandria.

Results
ΔE_f = -0.1759 eV per atom
Magnetic moment = 0.000 μB per cell
DOS(E_F) = 2.47 states/eV/f.u.
Theoretical density = 11.05 g cm⁻³

Cell: 10.2232 10.2232 3.5177 Å, 90.00 90.00 90.00°
Closest atoms and distances in Å follow each position.
Space group P4/mbm (No. 127)
Asymmetric unit:
Na: 0.1745 0.3255 0.0000 x4  1 Cu 2.81, 2 Au 3.07
Zn: 0.0000 0.0000 0.0000 x2  8 Au 2.74
Cu: 0.1309 0.6309 0.0000 x4  6 Au 2.58-2.60, 1 Na 2.81
Au: 0.0000 0.5000 0.5000 x2  4 Cu 2.58
Au: 0.0554 0.8026 0.5000 x8  2 Cu 2.60, 2 Zn 2.74